Density functional theory data (PBE-GGA) for an optimized crystal structure of Cs3NdPu2Te6.

Output
The uncorrected energy comes out at -5.773 eV per atom. The value obtained for the formation energy without anion corrections is -1.2027 eV/atom. For the total moment, the calculation gives 10.000 μB/f.u. The value obtained for the density of states at the Fermi level is 27.03 states/eV/f.u.

```
data_Cs3NdPu2Te6
_space_group_name_H-M_alt 'C 1 2/m 1'
_space_group_IT_number 12
_space_group_name_Hall '-C 2y'
_cell_length_a 8.0576
_cell_length_b 13.9560
_cell_length_c 9.2985
_cell_angle_alpha 90.00
_cell_angle_beta 106.79
_cell_angle_gamma 90.00
loop_
_atom_site_label
_atom_site_type_symbol
_atom_site_fract_x
_atom_site_fract_y
_atom_site_fract_z
Cs1 Cs 0.0000 0.0000 0.0000
Cs2 Cs 0.0000 0.3349 0.0000
Nd1 Nd 0.0000 0.5000 0.5000
Pu1 Pu 0.0000 0.1669 0.5000
Te1 Te 0.2257 0.0000 0.6907
Te2 Te 0.2327 0.3312 0.6915
```